(1)
Below is crystalline GaMoH at its relaxed geometry, with properties calculated at the PBE-GGA level.

a = 2.7601 Å, b = 2.7601 Å, c = 9.5177 Å
α = 90.00°, β = 90.00°, γ = 90.00°
Space group I4mm (No. 107)
Asymmetric unit:
Ga (0.0000, 0.0000, 0.0000) [2 per cell]
Mo (0.0000, 0.0000, 0.7193) [2 per cell]
H (0.0000, 0.0000, 0.2757) [2 per cell]

DOS(E_F) (states/eV/cell): 5.1
E_tot (eV per cell): -33.251


(2)
Below is crystalline GaMoH at its relaxed geometry, with properties calculated at the PBE-GGA level.

a = 3.1541 Å, b = 8.0148 Å, c = 5.3890 Å
α = 90.00°, β = 90.00°, γ = 90.00°
Space group Imm2 (No. 44)
Asymmetric unit:
Ga (0.0000, 0.0000, 0.0000) [2 per cell]
Ga (0.0000, 0.5000, 0.0662) [2 per cell]
Mo (0.0000, 0.2658, 0.6979) [4 per cell]
H (0.0000, 0.1761, 0.3706) [4 per cell]

DOS(E_F) (states/eV/cell): 6.3
E_tot (eV per cell): -69.309


(3)
Below is crystalline GaMoH2 at its relaxed geometry, with properties calculated at the PBE-GGA level.

a = 9.2907 Å, b = 3.1750 Å, c = 6.4999 Å
α = 90.00°, β = 129.95°, γ = 90.00°
Space group C2/m (No. 12)
Asymmetric unit:
Ga (0.1888, 0.0000, 0.1137) [4 per cell]
Mo (0.0675, 0.5000, 0.3324) [4 per cell]
H (0.0458, 0.0000, 0.6826) [4 per cell]
H (0.1906, 0.0000, 0.5539) [4 per cell]

DOS(E_F) (states/eV/cell): 3.7
E_tot (eV per cell): -81.017


(4)
Below is crystalline GaMo2H at its relaxed geometry, with properties calculated at the PBE-GGA level.

a = 5.9507 Å, b = 5.9507 Å, c = 5.7581 Å
α = 90.00°, β = 90.00°, γ = 90.00°
Space group I-42d (No. 122)
Asymmetric unit:
Ga (0.0000, 0.0000, 0.0000) [4 per cell]
Mo (0.1476, 0.7500, 0.6250) [8 per cell]
H (0.0000, 0.0000, 0.5000) [4 per cell]

DOS(E_F) (states/eV/cell): 10.5
E_tot (eV per cell): -108.823


(5)
Below is crystalline GaMoH at its relaxed geometry, with properties calculated at the PBE-GGA level.

a = 3.1432 Å, b = 5.1423 Å, c = 5.1871 Å
α = 60.44°, β = 72.45°, γ = 72.42°
Space group P-1 (No. 2)
Asymmetric unit:
Ga (0.0088, 0.2367, 0.2428) [2 per cell]
Mo (0.2884, 0.7076, 0.2198) [2 per cell]
H (0.3158, 0.3053, 0.5578) [2 per cell]

DOS(E_F) (states/eV/cell): 2.1
E_tot (eV per cell): -34.585


(6)
Below is crystalline GaMoH2 at its relaxed geometry, with properties calculated at the PBE-GGA level.

a = 3.4158 Å, b = 4.9783 Å, c = 4.9938 Å
α = 91.95°, β = 109.65°, γ = 109.26°
Space group P-1 (No. 2)
Asymmetric unit:
Ga (0.1038, 0.4101, 0.2843) [2 per cell]
Mo (0.2466, 0.1759, 0.8173) [2 per cell]
H (0.2475, 0.9567, 0.5110) [2 per cell]
H (0.3333, 0.0112, 0.1635) [2 per cell]

DOS(E_F) (states/eV/cell): 2.0
E_tot (eV per cell): -40.751


(7)
Below is crystalline GaMoH2 at its relaxed geometry, with properties calculated at the PBE-GGA level.

a = 9.6142 Å, b = 3.1670 Å, c = 5.7901 Å
α = 90.00°, β = 116.42°, γ = 90.00°
Space group C2/m (No. 12)
Asymmetric unit:
Ga (0.1445, 0.0000, 0.3031) [4 per cell]
Mo (0.1505, 0.0000, 0.7903) [4 per cell]
H (0.0872, 0.5000, 0.6139) [4 per cell]
H (0.1343, 0.5000, 0.9749) [4 per cell]

DOS(E_F) (states/eV/cell): 3.3
E_tot (eV per cell): -81.161


(8)
Below is crystalline GaMoH2 at its relaxed geometry, with properties calculated at the PBE-GGA level.

a = 9.8007 Å, b = 3.1208 Å, c = 5.0888 Å
α = 90.00°, β = 95.55°, γ = 90.00°
Space group C2/m (No. 12)
Asymmetric unit:
Ga (0.0000, 0.0000, 0.0000) [2 per cell]
Ga (0.0000, 0.5000, 0.5000) [2 per cell]
Mo (0.2124, 0.0000, 0.7315) [4 per cell]
H (0.1772, 0.5000, 0.9401) [4 per cell]
H (0.1851, 0.0000, 0.3634) [4 per cell]

DOS(E_F) (states/eV/cell): 8.8
E_tot (eV per cell): -80.865


(9)
Below is crystalline GaMoH2 at its relaxed geometry, with properties calculated at the PBE-GGA level.

a = 9.6712 Å, b = 3.1131 Å, c = 7.1645 Å
α = 90.00°, β = 132.44°, γ = 90.00°
Space group Cm (No. 8)
Asymmetric unit:
Ga (0.0000, 0.0000, 0.0000) [2 per cell]
Ga (0.2324, 0.0000, 0.4949) [2 per cell]
Mo (0.2180, 0.0000, 0.8436) [2 per cell]
Mo (0.3102, 0.5000, 0.2610) [2 per cell]
H (0.1349, 0.5000, 0.6469) [2 per cell]
H (0.1420, 0.5000, 0.9090) [2 per cell]
H (0.3982, 0.0000, 0.2177) [2 per cell]
H (0.4567, 0.5000, 0.6106) [2 per cell]

DOS(E_F) (states/eV/cell): 5.3
E_tot (eV per cell): -81.192


(10)
Below is crystalline GaMo2H at its relaxed geometry, with properties calculated at the PBE-GGA level.

a = 5.9585 Å, b = 5.9585 Å, c = 5.9585 Å
α = 90.00°, β = 90.00°, γ = 90.00°
Space group Fm-3m (No. 225)
Asymmetric unit:
Ga (0.0000, 0.0000, 0.0000) [4 per cell]
Mo (0.2500, 0.2500, 0.2500) [8 per cell]
H (0.0000, 0.0000, 0.5000) [4 per cell]

DOS(E_F) (states/eV/cell): 24.2
E_tot (eV per cell): -100.346